1.
Entry from the Alexandria database: crystalline Tl2CdFe at its relaxed geometry (PBE).

ρ   10.55 g/cm3
Raw total energy   -3.02 eV/atom

```
data_Tl2CdFe
_chemical_formula_sum 'Tl4 Cd2 Fe2'
_space_group_name_H-M_alt 'C m m m'
_space_group_IT_number 65
_space_group_name_Hall '-C 2 2'
_cell_length_a 6.535
_cell_length_b 8.453
_cell_length_c 3.288
_cell_angle_alpha 90.00
_cell_angle_beta 90.00
_cell_angle_gamma 90.00
loop_
_atom_site_label
_atom_site_fract_x
_atom_site_fract_y
_atom_site_fract_z
Tl1 0.250 0.250 0.000
Cd1 0.000 0.000 0.500
Fe1 0.000 0.500 0.500
```

2.
Entry from the Alexandria database: crystalline Y2TlCdFe at its relaxed geometry (PBE).

ρ   5.33 g/cm3
Raw total energy   -3.99 eV/atom

```
data_Y2TlCdFe
_chemical_formula_sum 'Y2 Tl1 Cd1 Fe1'
_space_group_name_H-M_alt 'P 4/m m m'
_space_group_IT_number 123
_space_group_name_Hall '-P 4 2'
_cell_length_a 5.747
_cell_length_b 5.747
_cell_length_c 5.189
_cell_angle_alpha 90.00
_cell_angle_beta 90.00
_cell_angle_gamma 90.00
loop_
_atom_site_label
_atom_site_fract_x
_atom_site_fract_y
_atom_site_fract_z
Y1 0.000 0.500 0.000
Tl1 0.000 0.000 0.000
Cd1 0.000 0.000 0.500
Fe1 0.500 0.500 0.500
```

3.
Entry from the Alexandria database: crystalline Tm2CdFe at its relaxed geometry (PBE).

ρ   9.57 g/cm3
Raw total energy   -4.60 eV/atom

```
data_Tm2CdFe
_chemical_formula_sum 'Tm8 Cd4 Fe4'
_space_group_name_H-M_alt 'F m -3 m'
_space_group_IT_number 225
_space_group_name_Hall '-F 4 2 3'
_cell_length_a 7.057
_cell_length_b 7.057
_cell_length_c 7.057
_cell_angle_alpha 90.00
_cell_angle_beta 90.00
_cell_angle_gamma 90.00
loop_
_atom_site_label
_atom_site_fract_x
_atom_site_fract_y
_atom_site_fract_z
Tm1 0.250 0.250 0.250
Cd1 0.000 0.000 0.000
Fe1 0.000 0.000 0.500
```

4.
Entry from the Alexandria database: crystalline Tm5CdFe2 at its relaxed geometry (PBE).

ρ   9.34 g/cm3
Raw total energy   -5.13 eV/atom

```
data_Tm5CdFe2
_chemical_formula_sum 'Tm20 Cd4 Fe8'
_space_group_name_H-M_alt 'I 4/m c m'
_space_group_IT_number 140
_space_group_name_Hall '-I 4 2c'
_cell_length_a 7.359
_cell_length_b 7.359
_cell_length_c 14.038
_cell_angle_alpha 90.00
_cell_angle_beta 90.00
_cell_angle_gamma 90.00
loop_
_atom_site_label
_atom_site_fract_x
_atom_site_fract_y
_atom_site_fract_z
Tm1 0.000 0.000 0.000
Tm2 0.173 0.327 0.133
Cd1 0.000 0.000 0.250
Fe1 0.109 0.391 0.500
```

> The lowest ρ belongs to which entry?

Y2TlCdFe